Compound: Ba2CaAgAu6
Source: the Alexandria database
Functional: PBE-GGA
Structure: relaxed

## Properties
N(E_F) (states/eV per atom): 0.300
Calculated volume (Å³/f.u.): 315.8
Energy relative to the elements (kJ/mol of formula units): -264.1

a = 7.644 Å, b = 7.644 Å, c = 7.644 Å
α = 60.00°, β = 60.00°, γ = 90.00°
Positions (direct):
Ag 0.000 0.000 0.000
Au 0.756 0.244 0.000
Au 0.756 0.756 0.488
Au 0.244 0.244 0.512
Au 0.244 0.244 0.000
Au 0.244 0.756 0.000
Au 0.756 0.756 0.000
Ba 0.250 0.750 0.500
Ba 0.750 0.250 0.500
Ca 0.500 0.500 0.000



Compound: BaCaAg2Au2
Source: the Alexandria database
Functional: PBE-GGA
Structure: relaxed

## Properties
N(E_F) (states/eV per atom): 0.357
Calculated volume (Å³/f.u.): 158.9
Energy relative to the elements (kJ/mol of formula units): -307.2

a = 4.830 Å, b = 4.830 Å, c = 7.866 Å
α = 90.00°, β = 90.00°, γ = 120.00°
Positions (direct):
Ba 0.000 0.000 0.000
Ag 0.667 0.333 0.701
Ag 0.333 0.667 0.299
Au 0.667 0.333 0.291
Au 0.333 0.667 0.709
Ca 0.000 0.000 0.500



Compound: Ba2Cd12Ag3Au
Source: the Alexandria database
Functional: PBE-GGA
Structure: relaxed

## Properties
N(E_F) (states/eV per atom): 0.377
Calculated volume (Å³/f.u.): 577.7
Energy relative to the elements (kJ/mol of formula units): 111.2

a = 9.250 Å, b = 9.250 Å, c = 9.250 Å
α = 61.44°, β = 61.44°, γ = 61.44°
Positions (direct):
Cd 0.345 0.993 0.345
Cd 0.644 0.120 0.120
Cd 0.120 0.120 0.644
Cd 0.655 0.655 0.007
Cd 0.120 0.644 0.120
Cd 0.356 0.880 0.880
Cd 0.993 0.345 0.345
Cd 0.880 0.880 0.356
Cd 0.007 0.655 0.655
Cd 0.655 0.007 0.655
Cd 0.880 0.356 0.880
Cd 0.345 0.345 0.993
Au 0.000 0.000 0.000
Ag 0.500 0.000 0.000
Ag 0.000 0.000 0.500
Ag 0.000 0.500 0.000
Ba 0.394 0.394 0.394
Ba 0.606 0.606 0.606



Compound: BaCdAg2Au
Source: the Alexandria database
Functional: PBE-GGA
Structure: relaxed

## Properties
N(E_F) (states/eV per atom): 0.543
Calculated volume (Å³/f.u.): 129.8
Energy relative to the elements (kJ/mol of formula units): -153.7

a = 4.458 Å, b = 4.505 Å, c = 7.197 Å
α = 108.24°, β = 108.04°, γ = 90.00°
Positions (direct):
Ag 0.693 0.193 0.387
Ag 0.054 0.054 0.107
Ba 0.437 0.437 0.874
Cd 0.192 0.692 0.384
Au 0.836 0.836 0.672